Entry 1:
Computed, not measured: NpRu4 after structural relaxation at the GGA-PBE level of DFT.

```
NpRu4
1.0
4.679 0.000 0.000
0.000 4.679 0.000
0.000 0.000 4.679
Np Ru
1 4
Direct
0.000 0.000 0.000
0.000 0.000 0.500
0.000 0.500 0.000
0.500 0.000 0.000
0.500 0.500 0.500
```

Results
V (Å³/cell): 102.4
Size of the total moment (μB/atom): 0.638
Uncorrected energy (eV/cell): -42.046

=====

Entry 2:
Computed, not measured: NpRu3 after structural relaxation at the GGA-PBE level of DFT.

```
NpRu3
1.0
3.979 0.000 0.000
0.000 3.979 0.000
0.000 0.000 3.979
Np Ru
1 3
Direct
0.000 0.000 0.000
0.000 0.500 0.500
0.500 0.000 0.500
0.500 0.500 0.000
```

Results
V (Å³/cell): 63.0
Size of the total moment (μB/atom): 0.162
Uncorrected energy (eV/cell): -41.156

=====

Entry 3:
Computed, not measured: Np2Ru after structural relaxation at the GGA-PBE level of DFT.

```
Np2Ru
1.0
-1.620 1.620 4.913
1.620 -1.620 4.913
1.620 1.620 -4.913
Np Ru
2 1
Direct
0.189 0.189 0.000
0.811 0.811 0.000
0.500 0.500 0.000
```

Results
V (Å³/cell): 51.5
Size of the total moment (μB/atom): 0.000
Uncorrected energy (eV/cell): -35.277

=====

| no. | theoretical density (Mg/m³) |
| --- | --- |
| 1 | 10.40 |
| 2 | 14.24 |
| 3 | 18.52 |